Crystalline Gd2TlC at its relaxed geometry. Source: Alexandria, functional PBE.

Calculated values
The total energy comes out at -10.283 eV/atom. For the magnetic moment, the calculation gives 14.85 μB/f.u. Its space group is R-3m (166). The theoretical density is 9.271 g cm⁻³.

Cell: 8.5393 8.5393 8.5393 Å, 24.63 24.63 24.63°
Sites, in units of the cell vectors:
Gd  0.2217  0.2217  0.2217
Gd  0.7783  0.7783  0.7783
Tl  0.0000  0.0000  0.0000
C  0.5000  0.5000  0.5000

Crystalline YHo2Ir9 at its relaxed geometry. Source: Alexandria, functional PBE.

Calculated values
The total energy comes out at -8.536 eV/atom. For the magnetic moment, the calculation gives 0.00 μB/f.u. Its space group is R-3m (166). The theoretical density is 16.700 g cm⁻³.

Cell: 9.2904 9.2904 9.2904 Å, 33.17 33.17 33.17°
Sites, in units of the cell vectors:
Y  0.0000  0.0000  0.0000
Ho  0.1393  0.1393  0.1393
Ho  0.8607  0.8607  0.8607
Ir  0.0827  0.5821  0.5821
Ir  0.3329  0.3329  0.3329
Ir  0.4179  0.4179  0.9173
Ir  0.4179  0.9173  0.4179
Ir  0.5000  0.5000  0.5000
Ir  0.5821  0.0827  0.5821
Ir  0.5821  0.5821  0.0827
Ir  0.6671  0.6671  0.6671
Ir  0.9173  0.4179  0.4179

Crystalline Pr2Cu2SnRh5 at its relaxed geometry. Source: Alexandria, functional PBE.

Calculated values
The total energy comes out at -6.316 eV/atom. For the magnetic moment, the calculation gives 0.00 μB/f.u. Its space group is P4/mbm (127). The theoretical density is 9.792 g cm⁻³.

Cell: 9.5496 9.5496 3.8757 Å, 90.00 90.00 90.00°
Sites, in units of the cell vectors:
Pr  0.1759  0.3241  0.0000
Pr  0.3241  0.8241  0.0000
Pr  0.6759  0.1759  0.0000
Pr  0.8241  0.6759  0.0000
Cu  0.1203  0.6203  0.0000
Cu  0.3797  0.1203  0.0000
Cu  0.6203  0.8797  0.0000
Cu  0.8797  0.3797  0.0000
Sn  0.0000  0.0000  0.0000
Sn  0.5000  0.5000  0.0000
Rh  0.0000  0.5000  0.5000
Rh  0.0679  0.7904  0.5000
Rh  0.2096  0.0679  0.5000
Rh  0.2904  0.5679  0.5000
Rh  0.4321  0.2904  0.5000
Rh  0.5000  0.0000  0.5000
Rh  0.5679  0.7096  0.5000
Rh  0.7096  0.4321  0.5000
Rh  0.7904  0.9321  0.5000
Rh  0.9321  0.2096  0.5000

Crystalline CsNaPd at its relaxed geometry. Source: Alexandria, functional PBE.

Calculated values
The total energy comes out at -2.398 eV/atom. For the magnetic moment, the calculation gives 0.00 μB/f.u. Its space group is C2/m (12). The theoretical density is 3.660 g cm⁻³.

Cell: 9.3108 9.3108 10.7167 Å, 95.58 95.58 31.00°
Sites, in units of the cell vectors:
Cs  0.0662  0.0662  0.1749
Cs  0.3965  0.3965  0.3912
Cs  0.6035  0.6035  0.6088
Cs  0.9338  0.9338  0.8251
Na  0.2598  0.2598  0.7154
Na  0.2898  0.2898  0.0627
Na  0.7102  0.7102  0.9373
Na  0.7402  0.7402  0.2846
Pd  0.1369  0.1369  0.8828
Pd  0.2267  0.2267  0.4553
Pd  0.7733  0.7733  0.5447
Pd  0.8631  0.8631  0.1172

Crystalline LiCr2Ni at its relaxed geometry. Source: Alexandria, functional PBE.

Calculated values
The total energy comes out at -6.399 eV/atom. For the magnetic moment, the calculation gives 0.00 μB/f.u. The value obtained for the energy above the lowest structure with this stoichiometry is 65 kJ/mol of formula units. Its space group is P4/mmm (123). The theoretical density is 6.271 g cm⁻³.

Cell: 3.3069 3.3069 4.1075 Å, 90.00 90.00 90.00°
Sites, in units of the cell vectors:
Li  0.0000  0.0000  0.0000
Cr  0.0000  0.5000  0.5000
Cr  0.5000  0.0000  0.5000
Ni  0.5000  0.5000  0.0000

Crystalline Ta4MnBe at its relaxed geometry. Source: Alexandria, functional PBE.

Calculated values
The total energy comes out at -9.280 eV/atom. For the magnetic moment, the calculation gives 2.73 μB/f.u. Its space group is F-43m (216). The theoretical density is 11.914 g cm⁻³.

Cell: 5.3748 5.3748 5.3748 Å, 60.00 60.00 60.00°
Sites, in units of the cell vectors:
Ta  0.1250  0.1250  0.1250
Ta  0.1250  0.1250  0.6251
Ta  0.1250  0.6251  0.1250
Ta  0.6251  0.1250  0.1250
Mn  0.5000  0.5000  0.5000
Be  0.7500  0.7500  0.7500

Calculated ΔH_f (0 K) in order - -33.3 -56.8 -44.9 5.5 32.4 74.4 kJ per mole of atoms